The following is a PBE-GGA calculation of a relaxed structure of BiSbSe3, from the Alexandria database.

Lattice parameters (Å, degrees): 5.2891 5.2891 5.2891 90.00 90.00 90.00
Positions (direct):
Se: 0.5000 0.0000 0.0000
Se: 0.0000 0.5000 0.0000
Se: 0.0000 0.0000 0.5000
Sb: 0.0000 0.0000 0.0000
Bi: 0.5000 0.5000 0.5000

Its formation energy from raw total energies is 0.31 eV per atom. Its space group is No. 221. The calculation puts the polymorph energy (0 for the lowest one) at 3.18 eV per formula unit. Its total energy is -0.2488 Ry/atom. Its calculated density is 6.37 g/cm3.

***

The following is a PBE-GGA calculation of a relaxed structure of BiSbSe3, from the Alexandria database.

Lattice parameters (Å, degrees): 4.0999 11.6074 12.5901 90.00 90.00 90.00
Positions (direct):
Bi: 0.7500 0.8336 0.4809
Bi: 0.2500 0.1664 0.5191
Bi: 0.2500 0.3336 0.0191
Bi: 0.7500 0.6664 0.9809
Se: 0.2500 0.5493 0.8722
Se: 0.2500 0.6322 0.5500
Se: 0.7500 0.4507 0.1278
Se: 0.7500 0.8084 0.7940
Se: 0.2500 0.3084 0.7060
Se: 0.7500 0.6916 0.2940
Se: 0.2500 0.8678 0.0500
Se: 0.2500 0.9507 0.3722
Se: 0.7500 0.1322 0.9500
Se: 0.7500 0.3678 0.4500
Se: 0.7500 0.0493 0.6278
Se: 0.2500 0.1916 0.2060
Sb: 0.2500 0.9569 0.8581
Sb: 0.7500 0.4569 0.6419
Sb: 0.2500 0.5431 0.3581
Sb: 0.7500 0.0431 0.1419

Its formation energy from raw total energies is -0.31 eV per atom. Its space group is No. 62. The calculation puts the polymorph energy (0 for the lowest one) at 0.07 eV per formula unit. Its total energy is -0.2945 Ry/atom. Its calculated density is 6.29 g/cm3.

***

The following is a PBE-GGA calculation of a relaxed structure of BiSbSe3, from the Alexandria database.

Lattice parameters (Å, degrees): 4.2217 7.5959 11.9128 104.54 90.00 90.00
Positions (direct):
Sb: 0.2500 0.1414 0.6842
Sb: 0.7500 0.8586 0.3158
Se: 0.2500 0.0986 0.8931
Se: 0.7500 0.8982 0.6141
Se: 0.2500 0.1018 0.3859
Se: 0.2500 0.5460 0.7469
Se: 0.7500 0.9014 0.1069
Se: 0.7500 0.4540 0.2531
Bi: 0.7500 0.7907 0.8302
Bi: 0.2500 0.2093 0.1698

Its formation energy from raw total energies is -0.20 eV per atom. Its space group is No. 11. The calculation puts the polymorph energy (0 for the lowest one) at 0.67 eV per formula unit. Its total energy is -0.2857 Ry/atom. Its calculated density is 5.10 g/cm3.

***

The following is a PBE-GGA calculation of a relaxed structure of Bi2SbSe2, from the Alexandria database.

Lattice parameters (Å, degrees): 8.5335 8.5335 3.7816 90.00 90.00 90.00
Positions (direct):
Sb: 0.5000 0.5000 0.0000
Sb: 0.0000 0.0000 0.0000
Bi: 0.1799 0.6799 0.5000
Bi: 0.3201 0.1799 0.5000
Bi: 0.6799 0.8201 0.5000
Bi: 0.8201 0.3201 0.5000
Se: 0.6395 0.1395 0.0000
Se: 0.1395 0.3605 0.0000
Se: 0.8605 0.6395 0.0000
Se: 0.3605 0.8605 0.0000

Its formation energy from raw total energies is 0.10 eV per atom. Its space group is No. 127. The calculation puts the polymorph energy (0 for the lowest one) at 1.32 eV per formula unit. Its total energy is -0.2701 Ry/atom. Its calculated density is 8.41 g/cm3.